The following is a DFT calculation (PBE-GGA) of a geometry-optimized CaWCl2 structure.

DOS at the Fermi energy, states/eV/cell: 1.74
Polymorph energy (0 for the lowest one), kJ per mole of atoms: 26.0
Formation energy (no corrections), eV per atom: -0.18
Crystal system: orthorhombic

a b c (Å): 3.1297 4.1449 5.9284
angles (deg): 90.00 90.00 90.00
Last column: nearest neighbours and their distance in Å.
Fractional positions:
Ca1 0.0000 0.0000 0.0000  8 Cl 3.02, 2 Ca 3.13, 4 W 3.35
W1 0.5000 0.0000 0.5000  4 Cl 2.51
Cl1 0.5000 0.5000 0.2613  2 W 2.51
Cl2 0.5000 0.5000 0.7387  2 W 2.51